Material: BaErAgHg
Method: DFT, PBE
State: relaxed

Cell lengths 5.524, 5.524, 5.524 Å; angles 60.00, 60.00, 60.00 degrees
Element x y z (fractional)
Ba1 0.500 0.500 0.500
Hg1 0.750 0.750 0.750
Ag1 0.250 0.250 0.250
Er1 0.000 0.000 0.000

## Properties
Calculated formation energy in eV/atom: -0.21
Crystal system: cubic
DOS at the Fermi energy in states/eV/atom: 0.970
E in eV/atom: -2.62